{"formula": "TmMn2SiC", "functional": "GGA-PBE", "state": "relaxed", "cell": [[5.574, 0.002, 0.000], [-4.374, 3.455, 0.000], [0.000, 0.000, 6.960]], "species": ["Mn", "Mn", "Mn", "Mn", "Tm", "Tm", "C", "C", "Si", "Si"], "frac_coords": [[0.832, 0.168, 0.061], [0.832, 0.168, 0.439], [0.168, 0.832, 0.561], [0.168, 0.832, 0.939], [0.543, 0.457, 0.250], [0.457, 0.543, 0.750], [0.000, 0.000, 0.000], [0.000, 0.000, 0.500], [0.264, 0.736, 0.250], [0.736, 0.264, 0.750]]}

---

{"formula": "UMn2SiC", "functional": "GGA-PBE", "state": "relaxed", "cell": [[-3.284, -4.503, 1.069], [2.011, 3.243, -4.201], [5.522, -4.161, -0.568]], "species": ["Mn", "Mn", "Mn", "Mn", "Si", "Si", "U", "U", "C", "C"], "frac_coords": [[0.833, 0.167, 0.443], [0.833, 0.167, 0.057], [0.167, 0.833, 0.943], [0.167, 0.833, 0.557], [0.268, 0.732, 0.250], [0.732, 0.268, 0.750], [0.451, 0.549, 0.750], [0.549, 0.451, 0.250], [0.000, 0.000, 0.000], [0.000, 0.000, 0.500]]}

---

{"formula": "UMn2Si2C", "functional": "GGA-PBE", "state": "relaxed", "cell": [[3.897, 0.000, 0.000], [0.000, 3.897, 0.000], [0.000, 0.000, 5.087]], "species": ["Si", "Si", "Mn", "Mn", "U", "C"], "frac_coords": [[0.500, 0.500, 0.273], [0.500, 0.500, 0.727], [0.500, 0.000, 0.000], [0.000, 0.500, 0.000], [0.000, 0.000, 0.500], [0.000, 0.000, 0.000]]}

---

{"formula": "U2Mn4Si2C", "functional": "GGA-PBE", "state": "relaxed", "cell": [[-0.121, 0.633, -5.481], [-1.950, -4.711, 2.113], [-3.359, 3.141, 3.051]], "species": ["Mn", "Mn", "Mn", "Mn", "U", "U", "C", "Si", "Si"], "frac_coords": [[0.502, 0.751, 0.751], [0.498, 0.249, 0.249], [0.000, 0.751, 0.249], [0.000, 0.249, 0.751], [0.000, 0.289, 0.289], [0.000, 0.711, 0.711], [0.000, 0.000, 0.000], [0.500, 0.250, 0.750], [0.500, 0.750, 0.250]]}

---

{"formula": "Y2MnSiC", "functional": "GGA-PBE", "state": "relaxed", "cell": [[-3.250, -3.354, 1.486], [3.596, -2.521, 2.174], [-0.556, 1.945, 3.174]], "species": ["C", "Si", "Y", "Y", "Mn"], "frac_coords": [[0.000, 0.000, 0.000], [0.500, 0.500, 0.500], [0.500, 0.000, 0.000], [0.000, 0.500, 0.000], [0.000, 0.000, 0.500]]}

---

{"formula": "ZrMnSiC2", "functional": "GGA-PBE", "state": "relaxed", "cell": [[-2.573, -2.272, -2.490], [3.374, -3.648, -0.158], [-1.755, -1.772, 3.430]], "species": ["Mn", "Zr", "Si", "C", "C"], "frac_coords": [[0.000, 0.500, 0.000], [0.000, 0.000, 0.000], [0.500, 0.500, 0.500], [0.000, 0.000, 0.500], [0.500, 0.000, 0.000]]}

---

Per-record magnetic moment, μB per formula unit: 2.44, 0.40, 1.38, 0.00, 0.98, 0.89
Per-record D(E_F), states/eV per cell: 5.07, 13.94, 9.03, 9.09, 2.35, 6.01
Per-record formation energy from raw total energies, meV/atom: -523, -340, -390, 19, -344, 2333